DFT (GGA-PBE) results for a geometry-optimized Sr4MgZn2 structure.

Computed properties:
Uncorrected energy   -0.0508 hartree per atom
E_form   1.19 eV/f.u.
Magnetic moment   0.0 μB/f.u.
Crystal system   tetragonal
Excess energy over the best structure of this formula in the dataset   241.1 meV per atom

a = 6.410 Å, b = 6.410 Å, c = 8.971 Å
α = 69.07°, β = 69.07°, γ = 90.00°
Positions (direct):
Sr: 0.782 0.782 0.435
Sr: 0.218 0.218 0.565
Sr: 0.000 0.500 0.000
Sr: 0.500 0.000 0.000
Zn: 0.579 0.579 0.841
Zn: 0.421 0.421 0.159
Mg: 0.000 0.000 0.000